(1)
VASP calculation (PBE-GGA) on crystalline PW3 at its relaxed geometry.

abc: 8.5450 8.5450 8.5450
angles: 19.65 19.65 19.65
Sites, in units of the cell vectors:
P1 0.0000 0.0000 0.0000
W1 0.2582 0.2582 0.2582
W2 0.5000 0.5000 0.5000
W3 0.7418 0.7418 0.7418

Computed properties:
N(E_F)   3.98 states/eV per cell
Polymorph energy (0 for the lowest one)   422 meV per atom
Energy of formation from the pure elements   291 meV/atom

(2)
VASP calculation (PBE-GGA) on crystalline NaLa2WN4 at its relaxed geometry.

abc: 6.1135 6.1135 5.2197
angles: 114.78 114.78 106.51
Sites, in units of the cell vectors:
Na1 0.0543 0.0543 0.1086
La1 0.8067 0.3067 0.6135
La2 0.3067 0.8067 0.6135
W1 0.4923 0.4923 0.9847
N1 0.5492 0.5492 0.6874
N2 0.3841 0.7686 0.1528
N3 0.7686 0.3841 0.1528
N4 0.1383 0.1383 0.6874

Computed properties:
N(E_F)   2.40 states/eV per cell
Raw formation energy   -0.9364 eV per atom

(3)
VASP calculation (PBE-GGA) on crystalline CsKSr2 at its relaxed geometry.

abc: 7.1824 6.1964 6.1964
angles: 90.00 90.00 90.00
Sites, in units of the cell vectors:
Cs1 0.5000 0.5000 0.5000
Sr1 0.0000 0.0000 0.5000
Sr2 0.0000 0.5000 0.0000
K1 0.5000 0.0000 0.0000

Computed properties:
N(E_F)   4.78 states/eV per cell
Polymorph energy (0 for the lowest one)   0 meV per atom
Energy of formation from the pure elements   169 meV/atom